1.
YHfBeRe2 | Alexandria | PBE | relaxed; polymorph energy (0 for the lowest one) = 0 meV per atom; calculated formation energy = 1.421 eV per atom; space group = No. 123
1.0
-1.6482 -1.4932 -4.2775
3.9299 -2.3682 -0.6876
-1.9621 -3.8676 2.1061
Be Re Hf Y
1 2 1 1
Direct
0.0000 0.5000 0.0000
0.0000 0.0000 0.5000
0.5000 0.0000 0.0000
0.0000 0.0000 0.0000
0.5000 0.5000 0.5000


2.
Si2AgRh | Alexandria | PBE | relaxed; polymorph energy (0 for the lowest one) = 169 meV per atom; energy relative to the elements, uncorrected = -0.01 kcal/mol of atoms; space group = No. 10
1.0
-0.8010 -3.4377 -2.2028
-1.0695 -1.3336 2.4701
-4.5580 1.7275 -1.0385
Ag Si Rh
1 2 1
Direct
0.5000 0.2500 0.2500
0.0000 0.7518 0.0032
0.0000 0.7482 0.4968
0.5000 0.7500 0.7500


3.
PmSmCuAg | Alexandria | PBE | relaxed; polymorph energy (0 for the lowest one) = 24 meV per atom; calculated formation energy = -0.200 eV per atom; space group = No. 216
1.0
-3.8142 2.8804 -1.9539
-4.9098 -1.5025 0.5466
-3.1565 2.5916 3.1594
Cu Ag Pm Sm
1 1 1 1
Direct
0.2500 0.2500 0.2500
0.7500 0.7500 0.7500
0.0000 0.0000 0.0000
0.5000 0.5000 0.5000


4.
CaCd12Ag7 | Alexandria | PBE | relaxed; calculated formation energy = 0.143 eV per atom; space group = No. 204
1.0
-4.0551 -7.2082 3.1646
4.8516 3.7116 6.4111
-6.0664 5.7924 -2.8397
Cd Ag Ca
12 7 1
Direct
0.8923 0.6520 0.2403
0.1077 0.3480 0.7597
0.5883 0.3480 0.2403
0.7597 0.1077 0.3480
0.3480 0.7597 0.1077
0.7597 0.4117 0.6520
0.4117 0.6520 0.7597
0.6520 0.2403 0.8923
0.2403 0.5883 0.3480
0.2403 0.8923 0.6520
0.6520 0.7597 0.4117
0.3480 0.2403 0.5883
0.5000 0.5000 0.0000
0.0000 0.5000 0.0000
0.5000 0.5000 0.5000
0.0000 0.5000 0.5000
0.5000 0.0000 0.5000
0.5000 0.0000 0.0000
0.0000 0.0000 0.5000
0.0000 0.0000 0.0000


5.
MgH3Ir3 | Alexandria | PBE | relaxed; polymorph energy (0 for the lowest one) = 20 meV per atom; space group = No. 8
1.0
4.0417 0.0073 -0.0325
0.0217 4.2763 0.0216
0.0000 0.0072 4.0418
Mg H Ir
1 3 3
Direct
0.1671 0.7068 0.6489
0.2427 0.1834 0.7244
0.4668 0.4411 0.3431
0.8614 0.4411 0.9486
0.6740 0.1836 0.6442
0.1625 0.1836 0.1558
0.6695 0.7507 0.1512


6.
AlAs2Os | Alexandria | PBE | relaxed; calculated formation energy = 0.262 eV per atom; space group = No. 10
1.0
4.7361 0.0000 0.0000
0.0000 3.3853 -0.0140
0.0000 0.2603 4.2050
Al Os As
1 1 2
Direct
0.5000 0.7500 0.7500
0.5000 0.2500 0.2500
0.0000 0.4850 0.4661
0.0000 0.0150 0.0339


These records have V values of 21.568, 15.573, 24.337, 26.728, 9.979, 16.859 Å³ per atom, in the order they appear.